Entry from Alexandria via LeMat-Bulk: VSeOF2 after structural relaxation (PBE with a Hubbard U).

abc: 4.601 4.601 3.807
angles: 90.00 90.00 90.00
Sites, in units of the cell vectors:
F: 0.500 0.000 0.000
V: 0.500 0.500 0.500
F: 0.000 0.500 0.000
O: 0.000 0.000 0.500
Se: 0.000 0.000 0.000

## Properties
The calculation puts the total energy at -20.670 eV/cell. Its space-group type is P4/mmm, No. 123. The crystal system is tetragonal. For the relative energy among the computed polymorphs, the calculation gives 95.3 kJ/mol of atoms.

=====

Entry from Alexandria via LeMat-Bulk: VSeOF2 after structural relaxation (PBE with a Hubbard U).

abc: 4.197 4.197 3.811
angles: 90.00 90.00 90.00
Sites, in units of the cell vectors:
V: 0.000 0.000 0.000
O: 0.000 0.000 0.500
Se: 0.500 0.500 0.500
F: 0.500 0.000 0.000
F: 0.000 0.500 0.000

## Properties
The calculation puts the total energy at -25.608 eV/cell. Its space-group type is P4/mmm, No. 123. The crystal system is tetragonal. For the relative energy among the computed polymorphs, the calculation gives 0.0 kJ/mol of atoms.

=====

DOS(E_F), respectively: 3.590 2.701 states/eV per cell.